(1)
Density functional theory data (GGA-PBE) for a geometry-optimized TlCrAg2 structure.

Values from the calculation:
For the density of states at the Fermi level, the calculation gives 0.380 states/eV/atom.

Lattice parameters (Å, degrees): 5.0756 5.0756 3.2971 90.00 90.00 109.13
Site moments in Bohr magnetons follow the coordinates.
Element x y z (fractional)
Ag1 0.5000 0.5000 0.0000  0.02
Ag2 0.0000 0.0000 0.0000  0.02
Tl1 0.0000 0.5000 0.5000  -0.04
Cr1 0.5000 0.0000 0.5000  3.81


(2)
Density functional theory data (GGA-PBE) for a geometry-optimized CaTbPm6Dy2 structure.

Values from the calculation:
For the density of states at the Fermi level, the calculation gives 1.503 states/eV/atom.

Lattice parameters (Å, degrees): 9.8713 8.9810 8.9810 118.58 94.43 94.43
Element x y z (fractional)
Pm1 0.5517 0.7620 0.1147
Pm2 0.8765 0.2885 0.5003
Pm3 0.0517 0.1147 0.7620
Pm4 0.4483 0.2380 0.8853
Pm5 0.1235 0.7115 0.4997
Pm6 0.1767 0.5698 0.0286
Pm7 0.6235 0.4997 0.7115
Pm8 0.9483 0.8853 0.2380
Pm9 0.8233 0.4302 0.9714
Pm10 0.3233 0.9714 0.4302
Pm11 0.3765 0.5003 0.2885
Pm12 0.6767 0.0286 0.5698
Dy1 0.5429 0.1980 0.2988
Dy2 0.9571 0.7012 0.8020
Dy3 0.0429 0.2988 0.1980
Dy4 0.4571 0.8020 0.7012
Tb1 0.7500 0.0254 0.9746
Tb2 0.2500 0.9746 0.0254
Ca1 0.7500 0.5984 0.4016
Ca2 0.2500 0.4016 0.5984


(3)
Density functional theory data (GGA-PBE) for a geometry-optimized CaEuBiPd structure.

Values from the calculation:
For the density of states at the Fermi level, the calculation gives 3.270 states/eV/atom.

Lattice parameters (Å, degrees): 5.3637 5.3637 5.3637 60.00 60.00 60.00
Site moments in Bohr magnetons follow the coordinates.
Element x y z (fractional)
Ca1 0.7500 0.7500 0.7500  0.00
Bi1 0.5000 0.5000 0.5000  -0.03
Eu1 0.2500 0.2500 0.2500  6.79
Pd1 0.0000 0.0000 0.0000  -0.03


(4)
Density functional theory data (GGA-PBE) for a geometry-optimized ZrNb2Ag structure.

Values from the calculation:
The distance to the lowest polymorph of the same formula is 179 meV/atom. For the density of states at the Fermi level, the calculation gives 1.021 states/eV/atom.

Lattice parameters (Å, degrees): 3.9737 3.9737 10.7346 79.33 79.33 90.00
Element x y z (fractional)
Zr1 0.5000 0.5000 0.0000
Zr2 0.2500 0.7500 0.5000
Nb1 0.3750 0.3813 0.7500
Nb2 0.1313 0.6250 0.2500
Nb3 0.6187 0.1250 0.2500
Nb4 0.8750 0.8687 0.7500
Ag1 0.0000 0.0000 0.0000
Ag2 0.7500 0.2500 0.5000


(5)
Density functional theory data (GGA-PBE) for a geometry-optimized LiZrAl2 structure.

Values from the calculation:
For the density of states at the Fermi level, the calculation gives 0.691 states/eV/atom.

Lattice parameters (Å, degrees): 3.1119 3.1122 7.0562 90.00 90.00 90.00
Element x y z (fractional)
Al1 0.0000 0.0000 0.4654
Al2 0.0000 0.0000 0.0346
Zr1 0.5000 0.5000 0.7500
Li1 0.5000 0.5000 0.2500


(6)
Density functional theory data (GGA-PBE) for a geometry-optimized K2Li structure.

Values from the calculation:
The distance to the lowest polymorph of the same formula is 57 meV/atom. For the density of states at the Fermi level, the calculation gives 0.460 states/eV/atom.

Lattice parameters (Å, degrees): 4.3418 4.3418 9.9293 90.00 90.00 120.00
Element x y z (fractional)
K1 0.6667 0.3333 0.7026
K2 0.3333 0.6667 0.2974
Li1 0.0000 0.0000 0.0000


Here are the calculated energy of formation numbers, same order: 9.29, 3.13, -16.18, 11.87, -7.37, 3.56 (kcal/mol of atoms).
Here are the calculated total magnetization numbers, same order: 4.25, 0.00, 6.90, 0.00, 0.00, 0.00 (μB/f.u.).
Here are the calculated calculated total energy numbers, same order: -16.1, -86.0, -24.2, -59.0, -19.2, -3.6 (eV for the cell shown).